A relaxed PmTlW2O8 crystal. Source: Alexandria, functional PBE+U.

## Properties
**Calculated total energy**: -7.279 eV per atom
**ρ**: 5.41 g/cm³
**M_tot**: 0.00 Bohr magnetons per cell
**Calculated volume**: 21.61 Å³ per atom

a b c (Å): 6.177 6.177 7.846
angles (deg): 90.00 90.00 120.00
Element x y z (fractional)
Pm 0.000 0.000 0.000
Tl 0.000 0.000 0.500
W 0.333 0.667 0.260
W 0.667 0.333 0.740
O 0.172 0.343 0.184
O 0.172 0.828 0.184
O 0.333 0.667 0.487
O 0.343 0.172 0.816
O 0.657 0.828 0.184
O 0.667 0.333 0.513
O 0.828 0.172 0.816
O 0.828 0.657 0.816